1.
VASP calculation (PBE) on a geometry-optimized InCo3S structure.

Properties
energy above the most stable polymorph in this dataset	0.0	meV per atom
formation energy from raw total energies	0.5	eV/f.u.
space group	Pm-3m
size of the total moment	2.027	μB/f.u.
DOS(E_F)	4.8	states/eV/cell

abc: 4.1429 4.1429 4.1429
angles: 90.00 90.00 90.00
Fractional coordinates of all 5 atoms:
S: 0.0000 0.0000 0.0000
In: 0.5000 0.5000 0.5000
Co: 0.0000 0.0000 0.5000
Co: 0.5000 0.0000 0.0000
Co: 0.0000 0.5000 0.0000

2.
VASP calculation (PBE) on a geometry-optimized In3CoS structure.

Properties
energy above the most stable polymorph in this dataset	755.0	meV per atom
formation energy from raw total energies	4.3	eV/f.u.
space group	Pm-3m
size of the total moment	1.855	μB/f.u.
DOS(E_F)	11.8	states/eV/cell

abc: 5.2707 5.2707 5.2707
angles: 90.00 90.00 90.00
Fractional coordinates of all 5 atoms:
S: 0.0000 0.0000 0.0000
In: 0.0000 0.5000 0.0000
In: 0.5000 0.0000 0.0000
In: 0.0000 0.0000 0.5000
Co: 0.5000 0.5000 0.5000

3.
VASP calculation (PBE) on a geometry-optimized InCoS2 structure.

Properties
formation energy from raw total energies	-1.3	eV/f.u.
space group	R-3m
size of the total moment	0.000	μB/f.u.
DOS(E_F)	2.8	states/eV/cell

abc: 8.0002 8.0002 8.0002
angles: 24.29 24.29 24.29
Fractional coordinates of all 4 atoms:
S: 0.8814 0.8814 0.8814
S: 0.1186 0.1186 0.1186
In: 0.0000 0.0000 0.0000
Co: 0.5000 0.5000 0.5000

4.
VASP calculation (PBE) on a geometry-optimized ScInCo2S structure.

Properties
formation energy from raw total energies	6.0	eV/f.u.
space group	P4/mmm
size of the total moment	2.160	μB/f.u.
DOS(E_F)	2.7	states/eV/cell

abc: 4.4816 5.6329 4.4816
angles: 90.00 90.00 90.00
Fractional coordinates of all 5 atoms:
In: 0.0000 0.5000 0.0000
S: 0.5000 0.5000 0.5000
Co: 0.5000 0.0000 0.0000
Co: 0.0000 0.0000 0.5000
Sc: 0.0000 0.0000 0.0000

5.
VASP calculation (PBE) on a geometry-optimized InCo3SnS2 structure.

Properties
formation energy from raw total energies	-2.6	eV/f.u.
space group	R-3m
size of the total moment	0.000	μB/f.u.
DOS(E_F)	0.6	states/eV/cell

abc: 5.4786 5.4786 5.4786
angles: 57.84 57.84 57.84
Fractional coordinates of all 7 atoms:
In: 0.5000 0.5000 0.5000
S: 0.2214 0.2214 0.2214
S: 0.7786 0.7786 0.7786
Co: 0.5000 0.5000 0.0000
Co: 0.5000 0.0000 0.5000
Co: 0.0000 0.5000 0.5000
Sn: 0.0000 0.0000 0.0000

6.
VASP calculation (PBE) on a geometry-optimized Ta2InCoS structure.

Properties
formation energy from raw total energies	12.6	eV/f.u.
space group	P4/mmm
size of the total moment	0.037	μB/f.u.
DOS(E_F)	11.3	states/eV/cell

abc: 5.1251 4.7285 5.1251
angles: 90.00 90.00 90.00
Fractional coordinates of all 5 atoms:
S: 0.0000 0.5000 0.0000
In: 0.0000 0.0000 0.0000
Ta: 0.5000 0.0000 0.0000
Ta: 0.0000 0.0000 0.5000
Co: 0.5000 0.5000 0.5000

7.
VASP calculation (PBE) on a geometry-optimized TaIn2CoS structure.

Properties
formation energy from raw total energies	3.8	eV/f.u.
space group	P4/mmm
size of the total moment	2.092	μB/f.u.
DOS(E_F)	4.2	states/eV/cell

abc: 5.1421 3.9544 5.1421
angles: 90.00 90.00 90.00
Fractional coordinates of all 5 atoms:
In: 0.0000 0.0000 0.5000
In: 0.5000 0.0000 0.0000
S: 0.0000 0.5000 0.0000
Co: 0.0000 0.0000 0.0000
Ta: 0.5000 0.5000 0.5000

8.
VASP calculation (PBE) on a geometry-optimized Ta2In2CoS6 structure.

Properties
formation energy from raw total energies	-6.8	eV/f.u.
space group	C2/m
size of the total moment	0.586	μB/f.u.
DOS(E_F)	3.5	states/eV/cell

abc: 5.9716 5.9716 8.9025
angles: 102.68 102.68 121.43
Fractional coordinates of all 11 atoms:
Ta: 0.3579 0.6421 0.5000
Ta: 0.6421 0.3579 0.5000
S: 0.4328 0.1028 0.6685
S: 0.5672 0.8972 0.3315
S: 0.8972 0.5672 0.3315
S: 0.1028 0.4328 0.6685
S: 0.8280 0.8280 0.6993
S: 0.1720 0.1720 0.3007
In: 0.7730 0.2270 0.0000
In: 0.2270 0.7730 0.0000
Co: 0.0000 0.0000 0.5000

9.
VASP calculation (PBE) on a geometry-optimized InCo2Sb structure.

Properties
formation energy from raw total energies	0.8	eV/f.u.
space group	P4mm
size of the total moment	2.475	μB/f.u.
DOS(E_F)	4.2	states/eV/cell

abc: 3.0936 3.0936 7.6209
angles: 90.00 90.00 89.99
Fractional coordinates of all 4 atoms:
In: 0.0000 0.0000 0.4221
Co: 0.0000 0.0000 0.0422
Co: 0.5000 0.5000 0.1993
Sb: 0.5000 0.5000 0.8364

10.
VASP calculation (PBE) on a geometry-optimized InCo4Sb12 structure.

Properties
formation energy from raw total energies	-2.5	eV/f.u.
space group	Im-3
size of the total moment	0.000	μB/f.u.
DOS(E_F)	6.4	states/eV/cell

abc: 7.9575 7.9575 7.9575
angles: 109.47 109.47 109.47
Fractional coordinates of all 17 atoms:
Sb: 0.8394 0.6657 0.5051
Sb: 0.8262 0.1606 0.6657
Sb: 0.5051 0.8394 0.6657
Sb: 0.8394 0.3343 0.1738
Sb: 0.3343 0.4949 0.1606
Sb: 0.1606 0.6657 0.8262
Sb: 0.6657 0.8262 0.1606
Sb: 0.1738 0.8394 0.3343
Sb: 0.1606 0.3343 0.4949
Sb: 0.4949 0.1606 0.3343
Sb: 0.3343 0.1738 0.8394
Sb: 0.6657 0.5051 0.8394
Co: 0.5000 0.5000 0.5000
Co: 0.0000 0.0000 0.5000
Co: 0.5000 0.0000 0.0000
Co: 0.0000 0.5000 0.0000
In: 0.0000 0.0000 0.0000

11.
VASP calculation (PBE) on a geometry-optimized InCo2Sb structure.

Properties
formation energy from raw total energies	2.5	eV/f.u.
space group	F-43m
size of the total moment	2.550	μB/f.u.
DOS(E_F)	7.3	states/eV/cell

abc: 4.6231 4.6231 4.6231
angles: 60.00 60.00 60.00
Fractional coordinates of all 4 atoms:
Co: 0.7500 0.7500 0.7500
Co: 0.0000 0.0000 0.0000
In: 0.5000 0.5000 0.5000
Sb: 0.2500 0.2500 0.2500

12.
VASP calculation (PBE) on a geometry-optimized InCo2Sb structure.

Properties
formation energy from raw total energies	1.1	eV/f.u.
space group	C2/m
size of the total moment	0.049	μB/f.u.
DOS(E_F)	4.6	states/eV/cell

abc: 4.2333 4.2333 5.5147
angles: 77.95 77.95 43.58
Fractional coordinates of all 4 atoms:
Sb: 0.2500 0.2500 0.2500
Co: 0.9970 0.9970 0.0271
Co: 0.5030 0.5030 0.4729
In: 0.7500 0.7500 0.7500